# 1
SnRuI2: relaxed, GGA-PBE.

relative energy among the computed polymorphs: 0.000 eV per atom
DFT total energy: -3.48 eV/atom

a b c (Å): 6.928 6.928 7.684
angles (deg): 63.21 63.21 90.00
Element x y z (fractional)
1 I 0.375 0.450 0.750
2 I 0.875 0.800 0.750
3 Ru 0.250 0.750 0.500
4 I 0.550 0.125 0.250
5 I 0.200 0.625 0.250
6 Ru 0.500 0.500 0.000
7 Sn 0.000 0.000 0.000
8 Sn 0.750 0.250 0.500


# 2
VCr2Br: relaxed, GGA-PBE.

relative energy among the computed polymorphs: 0.000 eV per atom
DFT total energy: -6.58 eV/atom

a b c (Å): 4.260 4.260 4.260
angles (deg): 60.00 60.00 60.00
Element x y z (fractional)
1 Cr 0.250 0.250 0.250
2 V 0.000 0.000 0.000
3 Cr 0.750 0.750 0.750
4 Br 0.500 0.500 0.500


# 3
NaSi2BP: relaxed, GGA-PBE.

DFT total energy: -4.19 eV/atom

a b c (Å): 4.057 4.672 4.057
angles (deg): 90.00 90.00 90.00
Element x y z (fractional)
1 P 0.500 0.500 0.500
2 Si 0.000 0.000 0.500
3 B 0.000 0.000 0.000
4 Si 0.500 0.000 0.000
5 Na 0.000 0.500 0.000


# 4
Pu2In8Ag: relaxed, GGA-PBE.

DFT total energy: -5.02 eV/atom

a b c (Å): 4.761 4.761 12.195
angles (deg): 90.00 90.00 90.00
Element x y z (fractional)
1 Pu 0.000 0.000 0.313
2 In 0.500 0.500 0.688
3 In 0.500 0.000 0.133
4 In 0.000 0.500 0.867
5 In 0.500 0.000 0.867
6 Pu 0.000 0.000 0.687
7 Ag 0.000 0.000 0.000
8 In 0.000 0.500 0.500
9 In 0.000 0.500 0.133
10 In 0.500 0.000 0.500
11 In 0.500 0.500 0.312


# 5
AlCu6H12SClO19: relaxed, GGA-PBE.

DFT total energy: -5.08 eV/atom

a b c (Å): 8.278 8.278 13.560
angles (deg): 90.00 90.00 120.00
Element x y z (fractional)
1 O 0.698 0.161 0.048
2 O 0.671 0.188 0.244
3 Cu 0.471 0.102 0.987
4 O 0.441 0.209 0.588
5 O 0.812 0.483 0.244
6 O 0.329 0.517 0.744
7 O 0.839 0.538 0.048
8 H 0.121 0.581 0.861
9 H 0.499 0.824 0.670
10 O 0.064 0.194 0.266
11 Cu 0.209 0.242 0.014
12 O 0.517 0.329 0.244
13 O 0.232 0.791 0.088
14 O 0.033 0.217 0.450
15 O 0.217 0.033 0.950
16 O 0.459 0.885 0.934
17 O 0.161 0.698 0.548
18 O 0.462 0.302 0.048
19 Cu 0.102 0.471 0.487
20 Cl 0.667 0.333 0.833
21 O 0.538 0.839 0.548
22 H 0.792 0.832 0.373
23 Cl 0.333 0.667 0.333
24 H 0.540 0.419 0.361
25 H 0.575 0.781 0.160
26 O 0.541 0.426 0.434
27 H 0.781 0.575 0.660
28 O 0.816 0.783 0.950
29 H 0.675 0.176 0.170
30 O 0.483 0.812 0.744
31 Cu 0.242 0.209 0.514
32 O 0.574 0.115 0.434
33 H 0.501 0.325 0.170
34 S 0.000 0.000 0.231
35 S 0.000 0.000 0.731
36 O 0.302 0.462 0.548
37 H 0.040 0.208 0.373
38 Al 0.333 0.667 0.016
39 H 0.581 0.121 0.361
40 Cu 0.967 0.758 0.514
41 O 0.967 0.184 0.950
42 H 0.219 0.794 0.160
43 O 0.768 0.559 0.588
44 O 0.188 0.671 0.744
45 Cu 0.631 0.529 0.987
46 O 0.426 0.541 0.934
47 O 0.000 0.000 0.620
48 H 0.419 0.540 0.861
49 O 0.806 0.870 0.266
50 O 0.130 0.936 0.266
51 Cu 0.529 0.631 0.487
52 H 0.460 0.879 0.861
53 Al 0.667 0.333 0.516
54 O 0.000 0.000 0.120
55 O 0.870 0.806 0.766
56 H 0.176 0.675 0.670
57 H 0.960 0.168 0.873
58 O 0.115 0.574 0.934
59 O 0.783 0.816 0.450
60 H 0.832 0.792 0.873
61 H 0.208 0.040 0.873
62 O 0.184 0.967 0.450
63 Cu 0.898 0.369 0.987
64 H 0.206 0.425 0.160
65 H 0.824 0.499 0.170
66 H 0.794 0.219 0.660
67 O 0.936 0.130 0.766
68 Cu 0.758 0.967 0.014
69 H 0.168 0.960 0.373
70 Cu 0.033 0.791 0.014
71 H 0.879 0.460 0.361
72 Cu 0.369 0.898 0.487
73 O 0.791 0.232 0.588
74 H 0.425 0.206 0.660
75 O 0.885 0.459 0.434
76 O 0.209 0.441 0.088
77 H 0.325 0.501 0.670
78 Cu 0.791 0.033 0.514
79 O 0.559 0.768 0.088
80 O 0.194 0.064 0.766


# 6
Na3PuTh3Se8: relaxed, GGA-PBE.

DFT total energy: -6.07 eV/atom

a b c (Å): 8.462 8.462 8.586
angles (deg): 119.55 90.00 120.00
Element x y z (fractional)
1 Na 0.000 0.500 0.000
2 Se 0.741 0.987 0.733
3 Se 0.246 0.492 0.733
4 Se 0.748 0.495 0.743
5 Th 0.000 0.500 0.500
6 Pu 0.000 0.000 0.500
7 Th 0.500 0.000 0.500
8 Th 0.500 0.500 0.500
9 Se 0.259 0.013 0.267
10 Na 0.000 0.000 0.000
11 Se 0.246 0.987 0.733
12 Se 0.754 0.013 0.267
13 Se 0.252 0.505 0.257
14 Se 0.754 0.508 0.267
15 Na 0.500 0.500 0.000


# 7
K2ZnRu: relaxed, GGA-PBE.

DFT total energy: -2.71 eV/atom

a b c (Å): 3.500 3.524 9.991
angles (deg): 90.00 90.00 90.00
Element x y z (fractional)
1 K 0.500 0.500 0.340
2 K 0.000 0.000 0.911
3 Zn 0.500 0.500 0.652
4 Ru 0.000 0.000 0.597


# 8
Li2NiGeH: relaxed, GGA-PBE.

DFT total energy: -3.77 eV/atom

a b c (Å): 3.849 3.849 3.530
angles (deg): 90.00 90.00 90.00
Element x y z (fractional)
1 Li 0.500 0.000 0.000
2 Li 0.000 0.500 0.000
3 H 0.000 0.000 0.000
4 Ni 0.000 0.000 0.500
5 Ge 0.500 0.500 0.500